No. 1
Material: Li2Ag14Te9
Method: DFT, PBE
State: relaxed

Cell lengths 8.0668, 8.0671, 11.5260 Å; angles 90.01, 89.99, 120.00 degrees
Element x y z (fractional)
Ag (0.3361, 0.0013, 0.0890)
Ag (0.2987, 0.3175, 0.4131)
Ag (0.3349, 0.3362, 0.9111)
Ag (0.7013, 0.6825, 0.5869)
Ag (0.6651, 0.6638, 0.0889)
Ag (0.9995, 0.9990, 0.7445)
Ag (0.9814, 0.2971, 0.5869)
Ag (0.0005, 0.0010, 0.2555)
Ag (0.9986, 0.3349, 0.0891)
Ag (0.6840, 0.9827, 0.4131)
Ag (0.0014, 0.6651, 0.9109)
Ag (0.6639, 0.9987, 0.9110)
Ag (0.3160, 0.0173, 0.5869)
Ag (0.0186, 0.7029, 0.4131)
Te (0.6564, 0.6415, 0.3325)
Te (0.0150, 0.6551, 0.6673)
Te (0.6402, 0.9837, 0.6674)
Te (0.0000, 0.0000, 0.0000)
Te (0.6667, 0.3333, 0.9982)
Te (0.3598, 0.0163, 0.3326)
Te (0.9850, 0.3449, 0.3327)
Te (0.3436, 0.3585, 0.6675)
Te (0.3333, 0.6667, 0.0018)
Li (0.3336, 0.6673, 0.2505)
Li (0.6664, 0.3327, 0.7495)

Summary:
DOS(E_F) (states/eV/cell): 8.14
Symmetry: P-1 (2)
Uncorrected energy (eV per cell): -75.892

No. 2
Material: LiAg8Te6
Method: DFT, PBE
State: relaxed

Cell lengths 7.6345, 7.6345, 8.6145 Å; angles 63.70, 63.70, 60.00 degrees
Element x y z (fractional)
Ag (0.3658, 0.1727, 0.5791)
Ag (0.1727, 0.8823, 0.5791)
Ag (0.8823, 0.3658, 0.5791)
Ag (0.5699, 0.5699, 0.2902)
Ag (0.1177, 0.6342, 0.4209)
Ag (0.8273, 0.1177, 0.4209)
Ag (0.4301, 0.4301, 0.7098)
Ag (0.6342, 0.8273, 0.4209)
Te (0.0310, 0.4253, 0.8020)
Te (0.9690, 0.5747, 0.1980)
Te (0.2583, 0.9690, 0.1980)
Te (0.7417, 0.0310, 0.8020)
Te (0.5747, 0.2583, 0.1980)
Te (0.4253, 0.7417, 0.8020)
Li (0.0000, 0.0000, 0.0000)

Summary:
DOS(E_F) (states/eV/cell): 9.45
Symmetry: R-3 (148)
Uncorrected energy (eV per cell): -44.894
Offset from the most stable computed form (meV per atom): 20

No. 3
Material: LiAg2Te
Method: DFT, PBE
State: relaxed

Cell lengths 4.8790, 4.8790, 4.8790 Å; angles 60.00, 60.00, 60.00 degrees
Element x y z (fractional)
Li (0.5000, 0.5000, 0.5000)
Ag (0.2500, 0.2500, 0.2500)
Ag (0.0000, 0.0000, 0.0000)
Te (0.7500, 0.7500, 0.7500)

Summary:
DOS(E_F) (states/eV/cell): 2.10
Symmetry: F-43m (216)
Uncorrected energy (eV per cell): -11.473

| no. | M_tot (μB/atom) |
| --- | --- |
| 1 | 0.000 |
| 2 | 0.000 |
| 3 | 0.000 |